Material: LiTcNiAg2
Method: DFT, PBE
State: relaxed

Cell: 4.8725 4.3842 4.8725 Å, 90.00 90.00 90.00°
Last column: nearest neighbours and their distance in Å.
Element x y z (fractional)
Ni1 0.0000 0.0000 0.0000  2 Tc 2.19, 4 Ag 2.44
Tc1 0.0000 0.5000 0.0000  2 Ni 2.19
Ag1 0.0000 0.0000 0.5000  2 Ni 2.44
Ag2 0.5000 0.0000 0.0000  2 Ni 2.44
Li1 0.5000 0.5000 0.5000  8 Ag 3.28, 4 Tc 3.45

Crystal system: tetragonal
N(E_F), states/eV/f.u.: 4.8
Space group: P4/mmm (123)
ΔH_f (0 K), meV/atom: 841
Total magnetic moment, μB per formula unit: 2.0